1.
CsCd6Hg12 (PBE-GGA, optimized geometry); formation enthalpy at 0 K = -33.4 meV/atom
1.0
-3.538 -2.745 8.149
2.301 -7.091 -5.319
5.097 -6.103 5.221
Hg Cd Cs
12 6 1
direct
0.867 0.330 0.740
0.394 0.206 0.056
0.481 0.035 0.789
0.519 0.965 0.211
0.606 0.794 0.944
0.133 0.670 0.260
0.660 0.441 0.476
0.162 0.402 0.142
0.278 0.016 0.538
0.838 0.598 0.858
0.340 0.559 0.524
0.722 0.984 0.462
0.517 0.560 0.735
0.984 0.840 0.458
0.775 0.321 0.200
0.483 0.440 0.265
0.225 0.679 0.800
0.016 0.160 0.542
0.000 0.000 0.000

=====

2.
Cs5Cd2Hg (PBE-GGA, optimized geometry); formation enthalpy at 0 K = -49.0 meV/atom
1.0
-3.940 1.867 2.602
3.024 -7.387 4.927
15.284 14.672 12.618
Cs Cd Hg
10 4 2
direct
0.893 0.786 0.625
0.426 0.852 0.250
0.893 0.786 0.875
0.574 0.148 0.750
0.353 0.705 0.066
0.353 0.705 0.434
0.107 0.214 0.375
0.647 0.295 0.934
0.107 0.214 0.125
0.647 0.295 0.566
0.236 0.472 0.684
0.764 0.528 0.316
0.236 0.472 0.816
0.764 0.528 0.184
0.774 0.549 0.750
0.226 0.451 0.250

=====

3.
Cs5Cd12Hg3 (PBE-GGA, optimized geometry); formation enthalpy at 0 K = 114.8 meV/atom
1.0
17.634 0.000 0.000
-5.878 16.626 0.000
-5.878 -8.313 14.398
Cs Cd Hg
20 48 12
direct
0.500 0.500 0.000
0.375 0.250 0.125
0.125 0.750 0.375
0.250 0.875 0.125
0.125 0.375 0.250
0.250 0.375 0.625
0.625 0.750 0.875
0.625 0.875 0.250
0.750 0.125 0.875
0.000 0.000 0.000
0.000 0.500 0.500
0.875 0.625 0.750
0.000 0.000 0.500
0.375 0.125 0.750
0.500 0.500 0.500
0.500 0.000 0.000
0.875 0.250 0.625
0.000 0.500 0.000
0.500 0.000 0.500
0.750 0.625 0.375
0.593 0.847 0.463
0.347 0.884 0.754
0.630 0.384 0.537
0.254 0.407 0.870
0.246 0.616 0.653
0.630 0.246 0.593
0.153 0.407 0.037
0.384 0.754 0.847
0.653 0.116 0.246
0.130 0.037 0.884
0.254 0.847 0.884
0.847 0.254 0.384
0.093 0.963 0.347
0.907 0.037 0.653
0.116 0.463 0.870
0.130 0.093 0.746
0.616 0.370 0.963
0.246 0.630 0.093
0.963 0.870 0.616
0.537 0.653 0.407
0.370 0.754 0.407
0.653 0.537 0.907
0.746 0.593 0.130
0.037 0.907 0.153
0.884 0.537 0.130
0.347 0.463 0.093
0.847 0.593 0.963
0.870 0.907 0.254
0.754 0.370 0.907
0.153 0.746 0.616
0.093 0.130 0.246
0.870 0.963 0.116
0.746 0.153 0.116
0.537 0.884 0.630
0.384 0.630 0.037
0.616 0.246 0.153
0.963 0.093 0.847
0.370 0.616 0.463
0.884 0.347 0.254
0.593 0.746 0.630
0.037 0.130 0.384
0.463 0.116 0.370
0.407 0.153 0.537
0.116 0.653 0.746
0.907 0.870 0.754
0.463 0.347 0.593
0.754 0.384 0.347
0.407 0.254 0.370
0.375 0.625 0.250
0.750 0.875 0.625
0.250 0.125 0.375
0.375 0.750 0.625
0.250 0.625 0.875
0.750 0.375 0.125
0.875 0.750 0.125
0.625 0.250 0.375
0.125 0.250 0.875
0.125 0.875 0.750
0.875 0.125 0.250
0.625 0.375 0.750

=====

4.
CsCd2Hg9 (PBE-GGA, optimized geometry); formation enthalpy at 0 K = -61.8 meV/atom
1.0
4.183 0.000 0.000
0.000 10.132 0.000
0.000 -5.066 8.775
Cd Hg Cs
2 9 1
direct
0.000 0.667 0.333
0.000 0.333 0.667
0.500 0.618 0.809
0.000 0.500 0.000
0.500 0.809 0.618
0.500 0.191 0.809
0.000 0.500 0.500
0.000 0.000 0.500
0.500 0.191 0.382
0.500 0.382 0.191
0.500 0.809 0.191
0.000 0.000 0.000

=====

5.
CsCdHg2 (PBE-GGA, optimized geometry); formation enthalpy at 0 K = -80.8 meV/atom
1.0
-1.338 4.211 -2.526
0.470 -2.698 -4.746
-5.266 -1.481 0.320
Cs Hg Cd
1 2 1
direct
0.500 0.000 0.000
0.000 0.000 0.500
0.000 0.500 0.000
0.500 0.500 0.500

=====

6.
CsCdHg2I (PBE-GGA, optimized geometry); formation energy (no corrections) = -449.5 meV per atom
1.0
-2.118 2.498 -4.684
-1.919 -5.063 -1.832
-5.909 1.067 3.240
I Cs Hg Cd
1 1 2 1
direct
0.000 0.000 0.500
0.500 0.500 0.500
0.000 0.500 0.000
0.500 0.000 0.000
0.000 0.000 0.000

=====

7.
Cs2CdHgI6 (PBE-GGA, optimized geometry); polymorph energy (0 for the lowest one) = 34 meV/atom; formation energy (no corrections) = -839.2 meV per atom
1.0
8.609 0.000 0.000
0.000 8.609 0.000
4.305 4.305 6.177
Cs I Cd Hg
2 6 1 1
direct
0.250 0.750 0.500
0.750 0.250 0.500
0.758 0.758 0.000
0.758 0.242 0.000
0.728 0.728 0.543
0.242 0.758 0.000
0.272 0.272 0.457
0.242 0.242 0.000
0.500 0.500 0.000
0.000 0.000 0.000

=====

8.
CsCdHgI2 (PBE-GGA, optimized geometry); formation energy (no corrections) = -710.6 meV per atom
1.0
-2.350 5.881 -0.671
-0.731 0.428 6.312
5.170 2.118 0.455
I Hg Cd Cs
2 1 1 1
direct
0.000 0.500 0.000
0.500 0.000 0.000
0.000 0.000 0.500
0.000 0.000 0.000
0.500 0.500 0.500

=====

| no. | M_tot (μB/f.u.) | DFT total energy (eV per cell) |
| --- | --- | --- |
| 1 | 0.00 | -10.6 |
| 2 | 0.00 | -13.6 |
| 3 | 0.00 | -55.4 |
| 4 | 0.00 | -6.1 |
| 5 | 0.00 | -2.7 |
| 6 | 0.00 | -6.2 |
| 7 | 0.00 | -20.6 |
| 8 | 0.00 | -8.7 |